[1]
# Fe5Mo3

Fe5Mo3 after structural relaxation (PBE-GGA, the Alexandria database).

Geometry as CIF:
```
data_Fe5Mo3
_chemical_formula_sum 'Fe10 Mo6'
_space_group_name_H-M_alt 'P 1'
_space_group_IT_number 1
_cell_length_a 8.265
_cell_length_b 8.316
_cell_length_c 4.637
_cell_angle_alpha 90.00
_cell_angle_beta 90.00
_cell_angle_gamma 42.04
loop_
_space_group_symop_operation_xyz
'x,y,z'
loop_
_atom_site_label
_atom_site_type_symbol
_atom_site_fract_x
_atom_site_fract_y
_atom_site_fract_z
_atom_site_occupancy
Mo1 Mo 0.607 0.958 0.250 1
Mo2 Mo 0.393 0.042 0.750 1
Mo3 Mo 0.379 0.622 0.250 1
Mo4 Mo 0.041 0.394 0.250 1
Mo5 Mo 0.959 0.606 0.750 1
Mo6 Mo 0.621 0.378 0.750 1
Fe1 Fe 0.638 0.644 0.999 1
Fe2 Fe 0.362 0.357 0.499 1
Fe3 Fe 0.362 0.357 0.001 1
Fe4 Fe 0.638 0.644 0.501 1
Fe5 Fe 0.247 0.994 0.250 1
Fe6 Fe 0.753 0.006 0.750 1
Fe7 Fe 0.871 0.124 0.250 1
Fe8 Fe 0.011 0.745 0.250 1
Fe9 Fe 0.989 0.255 0.750 1
Fe10 Fe 0.129 0.876 0.750 1
```

Summary:
Density of states at the Fermi level, states/eV/atom: 1.0633
Energy of formation from the pure elements, eV/atom: 0.2624
Energy above the lowest structure with this stoichiometry, eV per atom: 0.121
Total moment, μB/atom: 0.481

=====

[2]
# Fe3Mo

Fe3Mo after structural relaxation (PBE-GGA, the Alexandria database).

Geometry as CIF:
```
data_Fe3Mo
_chemical_formula_sum 'Fe12 Mo4'
_space_group_name_H-M_alt 'P 1'
_space_group_IT_number 1
_cell_length_a 4.496
_cell_length_b 8.182
_cell_length_c 5.118
_cell_angle_alpha 90.00
_cell_angle_beta 90.00
_cell_angle_gamma 90.00
loop_
_space_group_symop_operation_xyz
'x,y,z'
loop_
_atom_site_label
_atom_site_type_symbol
_atom_site_fract_x
_atom_site_fract_y
_atom_site_fract_z
_atom_site_occupancy
Mo1 Mo 0.924 0.250 0.397 1
Mo2 Mo 0.576 0.750 0.897 1
Mo3 Mo 0.424 0.250 0.103 1
Mo4 Mo 0.076 0.750 0.603 1
Fe1 Fe 0.915 0.250 0.882 1
Fe2 Fe 0.585 0.750 0.382 1
Fe3 Fe 0.415 0.250 0.618 1
Fe4 Fe 0.085 0.750 0.118 1
Fe5 Fe 0.277 0.995 0.363 1
Fe6 Fe 0.223 0.005 0.863 1
Fe7 Fe 0.777 0.505 0.137 1
Fe8 Fe 0.723 0.495 0.637 1
Fe9 Fe 0.723 0.005 0.637 1
Fe10 Fe 0.777 0.995 0.137 1
Fe11 Fe 0.223 0.495 0.863 1
Fe12 Fe 0.277 0.505 0.363 1
```

Summary:
Density of states at the Fermi level, states/eV/atom: 1.3139
Energy of formation from the pure elements, eV/atom: 0.1788
Total moment, μB/atom: 0.044

=====

[3]
# Fe4Mo5

Fe4Mo5 after structural relaxation (PBE-GGA, the Alexandria database).

Geometry as CIF:
```
data_Fe4Mo5
_chemical_formula_sum 'Fe4 Mo5'
_space_group_name_H-M_alt 'P 1'
_space_group_IT_number 1
_cell_length_a 6.582
_cell_length_b 6.582
_cell_length_c 6.582
_cell_angle_alpha 93.19
_cell_angle_beta 93.19
_cell_angle_gamma 152.69
loop_
_space_group_symop_operation_xyz
'x,y,z'
loop_
_atom_site_label
_atom_site_type_symbol
_atom_site_fract_x
_atom_site_fract_y
_atom_site_fract_z
_atom_site_occupancy
Fe1 Fe 0.343 0.000 0.343 1
Fe2 Fe 0.657 0.000 0.657 1
Fe3 Fe 0.000 0.343 0.343 1
Fe4 Fe 0.000 0.657 0.657 1
Mo1 Mo 0.000 0.000 0.000 1
Mo2 Mo 0.331 0.331 0.663 1
Mo3 Mo 0.669 0.669 0.337 1
Mo4 Mo 0.669 0.331 0.000 1
Mo5 Mo 0.331 0.669 0.000 1
```

Summary:
Density of states at the Fermi level, states/eV/atom: 0.6882
Energy of formation from the pure elements, eV/atom: 0.1017
Energy above the lowest structure with this stoichiometry, eV per atom: 0.000
Total moment, μB/atom: 1.000

=====

[4]
# Fe13Mo9

Fe13Mo9 after structural relaxation (PBE-GGA, the Alexandria database).

Geometry as CIF:
```
data_Fe13Mo9
_chemical_formula_sum 'Fe26 Mo18'
_space_group_name_H-M_alt 'P 1'
_space_group_IT_number 1
_cell_length_a 11.002
_cell_length_b 11.002
_cell_length_c 11.914
_cell_angle_alpha 67.55
_cell_angle_beta 67.55
_cell_angle_gamma 24.68
loop_
_space_group_symop_operation_xyz
'x,y,z'
loop_
_atom_site_label
_atom_site_type_symbol
_atom_site_fract_x
_atom_site_fract_y
_atom_site_fract_z
_atom_site_occupancy
Fe1 Fe 0.847 0.847 0.391 1
Fe2 Fe 0.153 0.153 0.609 1
Fe3 Fe 0.409 0.907 0.434 1
Fe4 Fe 0.591 0.093 0.566 1
Fe5 Fe 0.093 0.591 0.566 1
Fe6 Fe 0.907 0.409 0.434 1
Fe7 Fe 0.598 0.121 0.209 1
Fe8 Fe 0.402 0.879 0.791 1
Fe9 Fe 0.879 0.402 0.791 1
Fe10 Fe 0.121 0.598 0.209 1
Fe11 Fe 0.148 0.148 0.113 1
Fe12 Fe 0.852 0.852 0.887 1
Fe13 Fe 0.305 0.791 0.216 1
Fe14 Fe 0.695 0.209 0.784 1
Fe15 Fe 0.209 0.695 0.784 1
Fe16 Fe 0.791 0.305 0.216 1
Fe17 Fe 0.500 0.000 0.000 1
Fe18 Fe 0.000 0.500 0.000 1
Fe19 Fe 0.953 0.953 0.216 1
Fe20 Fe 0.047 0.047 0.784 1
Fe21 Fe 0.757 0.757 0.330 1
Fe22 Fe 0.243 0.243 0.670 1
Fe23 Fe 0.896 0.896 0.672 1
Fe24 Fe 0.104 0.104 0.328 1
Fe25 Fe 0.803 0.803 0.111 1
Fe26 Fe 0.197 0.197 0.889 1
Mo1 Mo 0.420 0.420 0.358 1
Mo2 Mo 0.580 0.580 0.642 1
Mo3 Mo 0.476 0.476 0.112 1
Mo4 Mo 0.524 0.524 0.888 1
Mo5 Mo 0.554 0.554 0.409 1
Mo6 Mo 0.446 0.446 0.591 1
Mo7 Mo 0.669 0.669 0.209 1
Mo8 Mo 0.331 0.331 0.791 1
Mo9 Mo 0.635 0.635 0.002 1
Mo10 Mo 0.365 0.365 0.998 1
Mo11 Mo 0.936 0.936 0.000 1
Mo12 Mo 0.064 0.064 0.000 1
Mo13 Mo 0.241 0.241 0.218 1
Mo14 Mo 0.759 0.759 0.782 1
Mo15 Mo 0.968 0.968 0.422 1
Mo16 Mo 0.032 0.032 0.578 1
Mo17 Mo 0.723 0.723 0.576 1
Mo18 Mo 0.277 0.277 0.424 1
```

Summary:
Density of states at the Fermi level, states/eV/atom: 1.1602
Energy of formation from the pure elements, eV/atom: -0.0096
Total moment, μB/atom: 0.310

=====

[5]
# Fe3Mo4

Fe3Mo4 after structural relaxation (PBE-GGA, the Alexandria database).

Geometry as CIF:
```
data_Fe3Mo4
_chemical_formula_sum 'Fe3 Mo4'
_space_group_name_H-M_alt 'P 1'
_space_group_IT_number 1
_cell_length_a 4.768
_cell_length_b 4.768
_cell_length_c 4.847
_cell_angle_alpha 90.00
_cell_angle_beta 90.00
_cell_angle_gamma 60.00
loop_
_space_group_symop_operation_xyz
'x,y,z'
loop_
_atom_site_label
_atom_site_type_symbol
_atom_site_fract_x
_atom_site_fract_y
_atom_site_fract_z
_atom_site_occupancy
Fe1 Fe 0.500 0.500 0.000 1
Fe2 Fe 0.000 0.500 0.000 1
Fe3 Fe 0.500 0.000 0.000 1
Mo1 Mo 0.000 0.000 0.253 1
Mo2 Mo 0.000 0.000 0.747 1
Mo3 Mo 0.333 0.333 0.500 1
Mo4 Mo 0.667 0.667 0.500 1
```

Summary:
Density of states at the Fermi level, states/eV/atom: 1.1138
Energy of formation from the pure elements, eV/atom: 0.0188
Energy above the lowest structure with this stoichiometry, eV per atom: 0.000
Total moment, μB/atom: 0.409

=====

[6]
# FeMo4

FeMo4 after structural relaxation (PBE-GGA, the Alexandria database).

Geometry as CIF:
```
data_FeMo4
_chemical_formula_sum 'Fe1 Mo4'
_space_group_name_H-M_alt 'P 1'
_space_group_IT_number 1
_cell_length_a 5.152
_cell_length_b 5.152
_cell_length_c 5.152
_cell_angle_alpha 95.37
_cell_angle_beta 95.37
_cell_angle_gamma 144.38
loop_
_space_group_symop_operation_xyz
'x,y,z'
loop_
_atom_site_label
_atom_site_type_symbol
_atom_site_fract_x
_atom_site_fract_y
_atom_site_fract_z
_atom_site_occupancy
Fe1 Fe 0.000 0.000 0.000 1
Mo1 Mo 0.799 0.397 0.195 1
Mo2 Mo 0.397 0.201 0.598 1
Mo3 Mo 0.201 0.603 0.805 1
Mo4 Mo 0.603 0.799 0.402 1
```

Summary:
Density of states at the Fermi level, states/eV/atom: 0.7076
Energy of formation from the pure elements, eV/atom: 0.1028
Energy above the lowest structure with this stoichiometry, eV per atom: 0.000
Total moment, μB/atom: 0.491

=====

[7]
# Fe5Mo3

Fe5Mo3 after structural relaxation (PBE-GGA, the Alexandria database).

Geometry as CIF:
```
data_Fe5Mo3
_chemical_formula_sum 'Fe10 Mo6'
_space_group_name_H-M_alt 'P 1'
_space_group_IT_number 1
_cell_length_a 4.809
_cell_length_b 6.586
_cell_length_c 7.548
_cell_angle_alpha 97.90
_cell_angle_beta 111.49
_cell_angle_gamma 71.20
loop_
_space_group_symop_operation_xyz
'x,y,z'
loop_
_atom_site_label
_atom_site_type_symbol
_atom_site_fract_x
_atom_site_fract_y
_atom_site_fract_z
_atom_site_occupancy
Mo1 Mo 0.256 0.925 0.948 1
Mo2 Mo 0.746 0.957 0.949 1
Mo3 Mo 0.642 0.484 0.899 1
Mo4 Mo 0.251 0.573 0.137 1
Mo5 Mo 0.846 0.891 0.547 1
Mo6 Mo 0.261 0.177 0.592 1
Fe1 Fe 0.717 0.513 0.438 1
Fe2 Fe 0.240 0.507 0.464 1
Fe3 Fe 0.220 0.906 0.323 1
Fe4 Fe 0.782 0.262 0.661 1
Fe5 Fe 0.270 0.280 0.940 1
Fe6 Fe 0.748 0.730 0.216 1
Fe7 Fe 0.454 0.768 0.655 1
Fe8 Fe 0.574 0.157 0.283 1
Fe9 Fe 0.964 0.280 0.196 1
Fe10 Fe 0.036 0.591 0.757 1
```

Summary:
Density of states at the Fermi level, states/eV/atom: 1.0576
Energy of formation from the pure elements, eV/atom: 0.2050
Energy above the lowest structure with this stoichiometry, eV per atom: 0.064
Total moment, μB/atom: 0.834

=====

[8]
# FeMo3

FeMo3 after structural relaxation (PBE-GGA, the Alexandria database).

Geometry as CIF:
```
data_FeMo3
_chemical_formula_sum 'Fe1 Mo3'
_space_group_name_H-M_alt 'P 1'
_space_group_IT_number 1
_cell_length_a 3.905
_cell_length_b 3.905
_cell_length_c 3.905
_cell_angle_alpha 90.00
_cell_angle_beta 90.00
_cell_angle_gamma 90.00
loop_
_space_group_symop_operation_xyz
'x,y,z'
loop_
_atom_site_label
_atom_site_type_symbol
_atom_site_fract_x
_atom_site_fract_y
_atom_site_fract_z
_atom_site_occupancy
Fe1 Fe 0.000 0.000 0.000 1
Mo1 Mo 0.000 0.500 0.500 1
Mo2 Mo 0.500 0.000 0.500 1
Mo3 Mo 0.500 0.500 0.000 1
```

Summary:
Density of states at the Fermi level, states/eV/atom: 1.5226
Energy of formation from the pure elements, eV/atom: 0.2730
Total moment, μB/atom: 0.460